A relaxed structure of Na3MnBAsO7, computed with PBE+U.

Cell: 5.2927 7.1979 8.9432 Å, 90.00 92.17 90.00°
With the nearest neighbours (Å) after each atom.
Element x y z (fractional)
As: 0.2790 0.2500 0.9187  4 O 1.71-1.75
Na: 0.7688 0.7500 0.4223  4 O 2.32-2.48
O: 0.6838 0.2500 0.5836  1 B 1.34
O: 0.7915 0.9387 0.1916  1 As 1.71
O: 0.0443 0.7500 0.6307  1 B 1.41
Na: 0.7446 0.0052 0.7515  4 O 2.33-2.52
B: 0.7186 0.2500 0.4359  3 O 1.34-1.41
O: 0.1281 0.2500 0.0859  1 As 1.72
Mn: 0.2168 0.7500 0.8309  4 O 1.98-2.02
B: 0.2814 0.7500 0.5641  3 O 1.34-1.41
O: 0.5244 0.2500 0.3234  1 B 1.41
O: 0.4756 0.7500 0.6766  1 B 1.41
Na: 0.2554 0.5052 0.2485  4 O 2.33-2.52
O: 0.7915 0.5613 0.1916  1 As 1.71
Na: 0.7446 0.4948 0.7515  4 O 2.33-2.52
Mn: 0.7832 0.2500 0.1691  4 O 1.98-2.02
O: 0.3981 0.7500 0.0335  1 As 1.75
O: 0.3162 0.7500 0.4164  1 B 1.34
As: 0.7210 0.7500 0.0813  4 O 1.71-1.75
O: 0.8719 0.7500 0.9141  1 As 1.72
O: 0.2085 0.0613 0.8084  1 As 1.71
O: 0.9557 0.2500 0.3693  1 B 1.41
Na: 0.2312 0.2500 0.5777  4 O 2.32-2.48
Na: 0.2554 0.9948 0.2485  4 O 2.33-2.52
O: 0.6019 0.2500 0.9665  1 As 1.75
O: 0.2085 0.4387 0.8084  1 As 1.71

Summary:
- Crystal system: monoclinic
- Raw total energy: -81.1 eV/f.u.
- SG: P2_1/m
- Magnetic moment: 4.00 μB/f.u.